1.
VASP calculation (GGA-PBE) on crystalline BeAu2Br at its relaxed geometry.

Lattice parameters (Å, degrees): 10.163 3.068 6.908 90.00 106.08 90.00
Space group Cm (No. 8)
Inequivalent atoms, fractional coordinates:
Be  0.000  0.000  0.000 x2
Au  0.177  0.500  0.210 x2
Au  0.406  0.000  0.214 x2
Br  0.455  0.000  0.761 x2

Output
Energy relative to the elements, uncorrected = -116 meV per atom
Energy above the most stable polymorph in this dataset = 0 meV per atom



2.
VASP calculation (GGA-PBE) on crystalline SrSbRu2 at its relaxed geometry.

Lattice parameters (Å, degrees): 4.5856 4.5856 16.5089 90.00 90.00 120.00
Space group R-3m (No. 166, hexagonal axes)
Inequivalent atoms, fractional coordinates:
Sr  0.0000  0.0000  0.0000 x3
Sb  0.0000  0.0000  0.5000 x3
Ru  0.0000  0.0000  0.1849 x6

Output
Energy relative to the elements, uncorrected = -8 meV per atom



3.
VASP calculation (GGA-PBE) on crystalline LiGa6Rh3 at its relaxed geometry.

Lattice parameters (Å, degrees): 9.727 9.455 6.761 90.00 90.00 90.00
Space group Cmcm (No. 63)
Inequivalent atoms, fractional coordinates:
Li  0.000  0.174  0.250 x4
Ga  0.000  0.359  0.529 x8
Ga  0.150  0.000  0.000 x8
Ga  0.227  0.269  0.750 x8
Rh  0.000  0.134  0.750 x4
Rh  0.154  0.466  0.250 x8

Output
Formation energy = -0.4892 eV/atom
Energy above the most stable polymorph in this dataset = 0 meV per atom



4.
VASP calculation (GGA-PBE) on crystalline DyTm2Mn at its relaxed geometry.

Lattice parameters (Å, degrees): 3.3620 3.3620 33.5017 90.00 90.00 120.00
Space group R-3m (No. 166, hexagonal axes)
Inequivalent atoms, fractional coordinates:
Dy  0.0000  0.0000  0.0000 x3
Tm  0.0000  0.0000  0.4182 x6
Mn  0.0000  0.0000  0.5000 x3

Output
Formation energy = 0.5058 eV/atom
Energy above the most stable polymorph in this dataset = 399 meV per atom



5.
VASP calculation (GGA-PBE) on crystalline Ni6PtAu at its relaxed geometry.

Lattice parameters (Å, degrees): 7.354 10.405 10.420 90.00 90.00 90.00
Space group Cmmm (No. 65)
Inequivalent atoms, fractional coordinates:
Ni  0.000  0.000  0.000 x2
Ni  0.000  0.000  0.500 x2
Ni  0.000  0.247  0.247 x8
Ni  0.000  0.500  0.000 x2
Ni  0.000  0.500  0.500 x2
Ni  0.246  0.124  0.373 x16
Ni  0.247  0.126  0.123 x16
Pt  0.000  0.000  0.249 x4
Pt  0.000  0.253  0.000 x4
Au  0.000  0.253  0.500 x4
Au  0.000  0.500  0.249 x4

Output
Formation energy = 0.0105 eV/atom



6.
VASP calculation (GGA-PBE) on crystalline Ca8Cd2Ir at its relaxed geometry.

Lattice parameters (Å, degrees): 5.112 9.139 14.668 90.00 90.00 90.00
Space group Immm (No. 71)
Inequivalent atoms, fractional coordinates:
Ca  0.000  0.000  0.121 x4
Ca  0.000  0.236  0.346 x8
Ca  0.000  0.317  0.000 x4
Cd  0.000  0.500  0.192 x4
Ir  0.000  0.500  0.500 x2

Output
Formation energy = -0.1031 eV/atom
Energy above the most stable polymorph in this dataset = 118 meV per atom



7.
VASP calculation (GGA-PBE) on crystalline AcTb3Pm3 at its relaxed geometry.

Lattice parameters (Å, degrees): 7.170 11.821 12.038 93.00 98.95 97.17
Space group P1 (No. 1)
Inequivalent atoms, fractional coordinates:
Ac  0.000  0.000  0.000 x1
Ac  0.019  0.299  0.665 x1
Ac  0.184  0.967  0.724 x1
Ac  0.838  0.821  0.481 x1
Tb  0.321  0.017  0.272 x1
Tb  0.333  0.809  0.472 x1
Tb  0.346  0.628  0.691 x1
Tb  0.504  0.971  0.022 x1
Tb  0.509  0.764  0.219 x1
Tb  0.513  0.557  0.432 x1
Tb  0.534  0.372  0.643 x1
Tb  0.674  0.701  0.957 x1
Tb  0.681  0.503  0.169 x1
Tb  0.684  0.293  0.372 x1
Tb  0.862  0.450  0.919 x1
Tb  0.872  0.255  0.126 x1
Pm  0.005  0.762  0.212 x1
Pm  0.013  0.540  0.435 x1
Pm  0.183  0.717  0.950 x1
Pm  0.189  0.504  0.172 x1
Pm  0.197  0.275  0.384 x1
Pm  0.365  0.444  0.908 x1
Pm  0.377  0.240  0.106 x1
Pm  0.578  0.085  0.549 x1
Pm  0.610  0.181  0.846 x1
Pm  0.657  0.886  0.746 x1
Pm  0.817  0.032  0.288 x1
Pm  0.848  0.624  0.698 x1

Output
Formation energy = 0.1004 eV/atom
Energy above the most stable polymorph in this dataset = 62 meV per atom



8.
VASP calculation (GGA-PBE) on crystalline TiF4 at its relaxed geometry.

Lattice parameters (Å, degrees): 5.749 12.007 4.980 90.00 122.33 90.00
Space group C2/c (No. 15)
Inequivalent atoms, fractional coordinates:
Ti  0.000  0.087  0.250 x4
F  0.207  0.049  0.690 x8
F  0.241  0.179  0.259 x8

Output
Energy relative to the elements, uncorrected = -3326 meV per atom
Energy above the most stable polymorph in this dataset = 22 meV per atom